Record 1
Entry from the Alexandria database: a geometry-optimized CeIn4Cl6 structure (PBE).

E_form (uncorrected)   -1.121 eV per atom
E   -3.66 eV/atom
Space group   P4/mnc, No. 128

abc: 8.4296 8.4296 10.5076
angles: 90.00 90.00 90.00
Last column: nearest neighbours and their distance in Å.
Atoms (fractional coordinates):
1 Ce 0.0000 0.0000 0.0000  6 Cl 2.78-2.80
2 Ce 0.5000 0.5000 0.5000  6 Cl 2.78-2.80
3 In 0.1517 0.3483 0.2500  4 Cl 3.19-3.21
4 In 0.1517 0.3483 0.7500  4 Cl 3.19-3.21
5 In 0.3483 0.8483 0.2500  4 Cl 3.19-3.21
6 In 0.3483 0.8483 0.7500  4 Cl 3.19-3.21
7 In 0.6517 0.1517 0.2500  4 Cl 3.19-3.21
8 In 0.6517 0.1517 0.7500  4 Cl 3.19-3.21
9 In 0.8483 0.6517 0.2500  4 Cl 3.19-3.21
10 In 0.8483 0.6517 0.7500  4 Cl 3.19-3.21
11 Cl 0.0000 0.0000 0.2663  1 Ce 2.80
12 Cl 0.0000 0.0000 0.7337  1 Ce 2.80
13 Cl 0.1755 0.7212 0.0000  1 Ce 2.78
14 Cl 0.2212 0.6755 0.5000  1 Ce 2.78
15 Cl 0.2788 0.1755 0.0000  1 Ce 2.78
16 Cl 0.3245 0.2212 0.5000  1 Ce 2.78
17 Cl 0.5000 0.5000 0.2337  1 Ce 2.80
18 Cl 0.5000 0.5000 0.7663  1 Ce 2.80
19 Cl 0.6755 0.7788 0.5000  1 Ce 2.78
20 Cl 0.7212 0.8245 0.0000  1 Ce 2.78
21 Cl 0.7788 0.3245 0.5000  1 Ce 2.78
22 Cl 0.8245 0.2788 0.0000  1 Ce 2.78


Record 2
Entry from the Alexandria database: a geometry-optimized NaNpRuO6 structure (PBE).

E_form (uncorrected)   -1.867 eV per atom
E   -7.79 eV/atom
Space group   P-31c, No. 163

abc: 5.3765 5.3765 10.3341
angles: 90.00 90.00 120.00
Last column: nearest neighbours and their distance in Å.
Atoms (fractional coordinates):
1 Na 0.0000 0.0000 0.0000  6 O 2.47
2 Na 0.0000 0.0000 0.5000  6 O 2.47
3 Np 0.3333 0.6667 0.2500  6 O 2.05
4 Np 0.6667 0.3333 0.7500  6 O 2.05
5 Ru 0.3333 0.6667 0.7500  6 O 1.99
6 Ru 0.6667 0.3333 0.2500  6 O 1.99
7 O 0.0085 0.3687 0.6460  1 Ru 1.99, 1 Np 2.05
8 O 0.0085 0.6398 0.8540  1 Ru 1.99, 1 Np 2.05
9 O 0.3602 0.3687 0.8540  1 Ru 1.99, 1 Np 2.05
10 O 0.3602 0.9915 0.6460  1 Ru 1.99, 1 Np 2.05
11 O 0.3687 0.0085 0.1460  1 Ru 1.99, 1 Np 2.05
12 O 0.3687 0.3602 0.3540  1 Ru 1.99, 1 Np 2.05
13 O 0.6313 0.6398 0.6460  1 Ru 1.99, 1 Np 2.05
14 O 0.6313 0.9915 0.8540  1 Ru 1.99, 1 Np 2.05
15 O 0.6398 0.0085 0.3540  1 Ru 1.99, 1 Np 2.05
16 O 0.6398 0.6313 0.1460  1 Ru 1.99, 1 Np 2.05
17 O 0.9915 0.3602 0.1460  1 Ru 1.99, 1 Np 2.05
18 O 0.9915 0.6313 0.3540  1 Ru 1.99, 1 Np 2.05


Record 3
Entry from the Alexandria database: a geometry-optimized Al2HgSe structure (PBE).

E_form (uncorrected)   0.009 eV per atom
E   -2.81 eV/atom
Space group   Imm2, No. 44

abc: 3.5275 4.5464 10.7354
angles: 90.00 90.00 90.00
Last column: nearest neighbours and their distance in Å.
Atoms (fractional coordinates):
1 Al 0.0000 0.0000 0.0000  2 Se 2.58
2 Al 0.0000 0.5000 0.2748  2 Hg 2.93, 2 Al 2.99, 4 Se 3.07
3 Al 0.5000 0.0000 0.7748  2 Hg 2.93, 2 Al 2.99, 4 Se 3.07
4 Al 0.5000 0.5000 0.5000  2 Se 2.58
5 Hg 0.0000 0.0000 0.4471  6 Al 2.93
6 Hg 0.5000 0.5000 0.9471  6 Al 2.93
7 Se 0.0000 0.5000 0.6760  2 Al 2.58
8 Se 0.5000 0.0000 0.1760  2 Al 2.58


Record 4
Entry from the Alexandria database: a geometry-optimized CrTcIr2 structure (PBE).

E   -9.49 eV/atom
Formation enthalpy at 0 K   -0.06 eV/atom
Offset from the most stable computed form   0.77 eV/f.u.
Space group   R-3m, No. 166

abc: 2.7229 2.7229 26.0394
angles: 90.00 90.00 120.00
Last column: nearest neighbours and their distance in Å.
Atoms (fractional coordinates):
1 Cr 0.0000 0.0000 0.0000  6 Ir 2.62, 6 Cr 2.72
2 Cr 0.3333 0.6667 0.6667  6 Ir 2.62, 6 Cr 2.72
3 Cr 0.6667 0.3333 0.3333  6 Ir 2.62, 6 Cr 2.72
4 Tc 0.0000 0.0000 0.5000  6 Tc 2.72, 6 Ir 2.74
5 Tc 0.3333 0.6667 0.1667  6 Tc 2.72, 6 Ir 2.74
6 Tc 0.6667 0.3333 0.8333  6 Tc 2.72, 6 Ir 2.74
7 Ir 0.0000 0.0000 0.2530  3 Cr 2.62, 6 Ir 2.72, 3 Tc 2.74
8 Ir 0.0000 0.0000 0.7470  3 Cr 2.62, 6 Ir 2.72, 3 Tc 2.74
9 Ir 0.3333 0.6667 0.4137  3 Cr 2.62, 6 Ir 2.72, 3 Tc 2.74
10 Ir 0.3333 0.6667 0.9197  3 Cr 2.62, 6 Ir 2.72, 3 Tc 2.74
11 Ir 0.6667 0.3333 0.0803  3 Cr 2.62, 6 Ir 2.72, 3 Tc 2.74
12 Ir 0.6667 0.3333 0.5863  3 Cr 2.62, 6 Ir 2.72, 3 Tc 2.74


Record 5
Entry from the Alexandria database: a geometry-optimized La2Au2Br structure (PBE).

E_form (uncorrected)   -0.895 eV per atom
E   -4.51 eV/atom
Offset from the most stable computed form   0.63 eV/f.u.
Space group   P4/mbm, No. 127

abc: 8.5255 8.5255 3.8620
angles: 90.00 90.00 90.00
Last column: nearest neighbours and their distance in Å.
Atoms (fractional coordinates):
1 La 0.1684 0.3316 0.0000  6 Au 3.16-3.18
2 La 0.3316 0.8316 0.0000  6 Au 3.16-3.18
3 La 0.6684 0.1684 0.0000  6 Au 3.16-3.18
4 La 0.8316 0.6684 0.0000  6 Au 3.16-3.18
5 Au 0.1242 0.6242 0.5000  1 Au 2.99, 6 La 3.16-3.18
6 Au 0.3758 0.1242 0.5000  1 Au 2.99, 6 La 3.16-3.18
7 Au 0.6242 0.8758 0.5000  1 Au 2.99, 6 La 3.16-3.18
8 Au 0.8758 0.3758 0.5000  1 Au 2.99, 6 La 3.16-3.18
9 Br 0.0000 0.0000 0.5000  4 Au 3.37, 8 La 3.71
10 Br 0.5000 0.5000 0.5000  4 Au 3.37, 8 La 3.71


Record 6
Entry from the Alexandria database: a geometry-optimized Si2BrCl structure (PBE).

E_form (uncorrected)   0.577 eV per atom
E   -3.01 eV/atom
Offset from the most stable computed form   3.75 eV/f.u.
Space group   Pmmm, No. 47

abc: 3.3324 3.9517 6.5992
angles: 90.00 90.00 90.00
Last column: nearest neighbours and their distance in Å.
Atoms (fractional coordinates):
1 Si 0.0000 0.0000 0.1991  1 Si 2.63, 4 Cl 2.90
2 Si 0.0000 0.0000 0.8009  1 Si 2.63, 4 Cl 2.90
3 Br 0.5000 0.5000 0.5000  8 Si 3.26, 2 Cl 3.30, 2 Br 3.33
4 Cl 0.5000 0.5000 0.0000  8 Si 2.90


Record 7
Entry from the Alexandria database: a geometry-optimized RbGaH structure (PBE).

E   -2.61 eV/atom
Offset from the most stable computed form   0.00 eV/f.u.
Space group   P-1, No. 2

abc: 4.6200 4.6203 10.2524
angles: 78.30 78.05 60.09
Last column: nearest neighbours and their distance in Å.
Atoms (fractional coordinates):
1 Rb 0.0777 0.0732 0.2526  3 H 2.72
2 Rb 0.9223 0.9268 0.7474  3 H 2.72
3 Ga 0.3267 0.3267 0.5212  1 H 1.71
4 Ga 0.6733 0.6733 0.4788  1 H 1.71
5 H 0.2730 0.2765 0.6925  1 Ga 1.71
6 H 0.7270 0.7235 0.3075  1 Ga 1.71


Record 8
Entry from the Alexandria database: a geometry-optimized TbThIrSe structure (PBE).

E_form (uncorrected)   -1.242 eV per atom
E   -7.34 eV/atom
Space group   R3m, No. 160

abc: 4.0428 4.0428 22.2117
angles: 90.00 90.00 120.00
Last column: nearest neighbours and their distance in Å.
Atoms (fractional coordinates):
1 Tb 0.0000 0.0000 0.0000  3 Ir 2.85, 3 Se 3.06
2 Tb 0.3333 0.6667 0.6667  3 Ir 2.85, 3 Se 3.06
3 Tb 0.6667 0.3333 0.3333  3 Ir 2.85, 3 Se 3.06
4 Th 0.0000 0.0000 0.1885  3 Ir 2.82
5 Th 0.3333 0.6667 0.8552  3 Ir 2.82
6 Th 0.6667 0.3333 0.5219  3 Ir 2.82
7 Ir 0.0000 0.0000 0.5930  3 Th 2.82, 3 Tb 2.85
8 Ir 0.3333 0.6667 0.2596  3 Th 2.82, 3 Tb 2.85
9 Ir 0.6667 0.3333 0.9263  3 Th 2.82, 3 Tb 2.85
10 Se 0.0000 0.0000 0.4225  3 Tb 3.06, 3 Th 3.21
11 Se 0.3333 0.6667 0.0892  3 Tb 3.06, 3 Th 3.21
12 Se 0.6667 0.3333 0.7558  3 Tb 3.06, 3 Th 3.21


Record 9
Entry from the Alexandria database: a geometry-optimized Fe3BPt structure (PBE).

E   -5.75 eV/atom
Formation enthalpy at 0 K   1.88 eV/atom
Offset from the most stable computed form   8.40 eV/f.u.
Space group   Pm-3m, No. 221

abc: 4.6762 4.6762 4.6762
angles: 90.00 90.00 90.00
Last column: nearest neighbours and their distance in Å.
Atoms (fractional coordinates):
1 Fe 0.0000 0.0000 0.5000  2 Pt 2.34
2 Fe 0.0000 0.5000 0.0000  2 Pt 2.34
3 Fe 0.5000 0.0000 0.0000  2 Pt 2.34
4 B 0.5000 0.5000 0.5000  12 Fe 3.31
5 Pt 0.0000 0.0000 0.0000  6 Fe 2.34


Record 10
Entry from the Alexandria database: a geometry-optimized Li2YPtO structure (PBE).

E_form (uncorrected)   -1.482 eV per atom
E   -5.74 eV/atom
Space group   P4/mmm, No. 123

abc: 4.1044 4.1044 4.5775
angles: 90.00 90.00 90.00
Last column: nearest neighbours and their distance in Å.
Atoms (fractional coordinates):
1 Li 0.0000 0.5000 0.0000  2 O 2.05
2 Li 0.5000 0.0000 0.0000  2 O 2.05
3 Y 0.0000 0.0000 0.5000  2 O 2.29
4 Pt 0.5000 0.5000 0.5000  4 Y 2.90, 8 Li 3.07
5 O 0.0000 0.0000 0.0000  4 Li 2.05, 2 Y 2.29


Record 11
Entry from the Alexandria database: a geometry-optimized Re2Si2Se structure (PBE).

E_form (uncorrected)   0.142 eV per atom
E   -7.70 eV/atom
Offset from the most stable computed form   0.09 eV/f.u.
Space group   P4/mbm, No. 127

abc: 7.2270 7.2270 2.8984
angles: 90.00 90.00 90.00
Last column: nearest neighbours and their distance in Å.
Atoms (fractional coordinates):
1 Re 0.1537 0.3463 0.0000  6 Si 2.56-2.58, 2 Se 2.74
2 Re 0.3463 0.8463 0.0000  6 Si 2.56-2.58, 2 Se 2.74
3 Re 0.6537 0.1537 0.0000  6 Si 2.56-2.58, 2 Se 2.74
4 Re 0.8463 0.6537 0.0000  6 Si 2.56-2.58, 2 Se 2.74
5 Si 0.1375 0.6375 0.5000  6 Re 2.56-2.58, 1 Si 2.81
6 Si 0.3625 0.1375 0.5000  6 Re 2.56-2.58, 1 Si 2.81
7 Si 0.6375 0.8625 0.5000  6 Re 2.56-2.58, 1 Si 2.81
8 Si 0.8625 0.3625 0.5000  6 Re 2.56-2.58, 1 Si 2.81
9 Se 0.0000 0.0000 0.0000  4 Re 2.74, 2 Se 2.90
10 Se 0.5000 0.5000 0.0000  4 Re 2.74, 2 Se 2.90


Record 12
Entry from the Alexandria database: a geometry-optimized Fe2MoIr structure (PBE).

E   -9.11 eV/atom
Formation enthalpy at 0 K   0.05 eV/atom
Space group   Pmmm, No. 47

abc: 2.6721 3.6982 5.3655
angles: 90.00 90.00 90.00
Last column: nearest neighbours and their distance in Å.
Atoms (fractional coordinates):
1 Fe 0.0000 0.0000 0.2441  4 Fe 2.62-2.75, 4 Ir 2.63, 4 Mo 2.66
2 Fe 0.0000 0.0000 0.7559  4 Fe 2.62-2.75, 4 Ir 2.63, 4 Mo 2.66
3 Mo 0.5000 0.5000 0.5000  8 Fe 2.66, 2 Mo 2.67, 2 Ir 2.68
4 Ir 0.5000 0.5000 0.0000  8 Fe 2.63, 2 Ir 2.67, 2 Mo 2.68


Number 1: total magnetic moment 0.11 μB per atom. Number 2: total magnetic moment 0.32 μB per atom. Number 3: total magnetic moment 0.00 μB per atom. Number 4: total magnetic moment 0.00 μB per atom. Number 5: total magnetic moment 0.00 μB per atom. Number 6: total magnetic moment 0.00 μB per atom. Number 7: total magnetic moment 0.02 μB per atom. Number 8: total magnetic moment 0.00 μB per atom. Number 9: total magnetic moment 2.01 μB per atom. Number 10: total magnetic moment 0.00 μB per atom. Number 11: total magnetic moment 0.00 μB per atom. Number 12: total magnetic moment 0.84 μB per atom.